Computed, not measured: a relaxed ThScTeIr crystal at the PBE-GGA level of DFT.

```
ThScTeIr
1.0
-1.802 1.128 3.487
1.606 -3.738 -0.352
7.017 2.988 0.267
Th Sc Te Ir
1 1 1 1
Cartesian
4.037 2.011 1.887
1.842 -3.220 0.053
1.271 0.692 3.276
6.549 0.930 1.143
```

SG: R3m
Uncorrected formation energy: -0.995 eV per atom
N(E_F): 0.68 states/eV per cell
Crystal system: trigonal
VASP energy: -7.433 eV per atom

Computed, not measured: a relaxed Ho4CuHg3 crystal at the PBE-GGA level of DFT.

```
Ho4CuHg3
1.0
-1.822 -2.570 1.766
0.171 -2.125 -2.915
12.843 -5.722 4.924
Ho Cu Hg
4 1 3
Cartesian
11.416 -5.086 4.377
1.427 -0.636 0.547
4.761 -2.121 1.825
8.081 -3.601 3.098
-0.826 -2.347 -0.575
2.288 -3.735 0.619
5.596 -5.208 1.887
8.904 -6.682 3.156
```

SG: P4/mmm
N(E_F): 4.85 states/eV per cell
Formation energy from the elements: -0.418 eV/atom
Crystal system: tetragonal
VASP energy: -3.332 eV per atom

Computed, not measured: a relaxed Li4PW crystal at the PBE-GGA level of DFT.

```
Li4PW
1.0
1.847 -0.352 4.353
-1.874 -3.025 3.133
2.390 -3.899 1.253
Li P W
4 1 1
Cartesian
1.806 -2.909 5.447
2.076 -4.672 3.906
-0.043 -4.238 4.841
0.888 -2.734 3.283
1.773 -5.457 6.554
0.000 0.000 0.000
```

SG: F-43m
N(E_F): 4.31 states/eV per cell
Formation energy from the elements: 0.542 eV/atom
Crystal system: cubic
VASP energy: -3.795 eV per atom

Computed, not measured: a relaxed KNaAu crystal at the PBE-GGA level of DFT.

```
KNaAu
1.0
5.370 0.000 0.000
2.685 4.651 0.000
2.685 1.550 4.385
Na K Au
1 1 1
Cartesian
5.370 3.101 2.192
0.000 0.000 0.000
2.685 1.550 1.096
```

SG: F-43m
N(E_F): 3.25 states/eV per cell
Formation energy from the elements: -0.152 eV/atom
Crystal system: cubic
VASP energy: -2.050 eV per atom

Computed, not measured: a relaxed Cs2ThHg2I6 crystal at the PBE-GGA level of DFT.

```
Cs2ThHg2I6
1.0
-2.528 -9.111 1.177
4.528 2.902 -7.865
6.594 0.964 6.427
Cs Th Hg I
2 1 2 6
Cartesian
5.487 -0.596 -1.656
3.107 -4.648 1.394
3.297 0.482 3.213
-1.179 -6.814 -0.552
3.179 0.606 -6.136
6.294 -4.365 -0.888
6.068 0.909 1.916
2.300 -0.879 0.627
4.206 -2.263 4.303
2.526 -6.153 -2.177
4.388 -2.982 -4.564
```

SG: C2/m
Uncorrected formation energy: -1.127 eV per atom
N(E_F): 0.00 states/eV per cell
Crystal system: monoclinic
VASP energy: -2.857 eV per atom

Computed, not measured: a relaxed NdTh2Ge crystal at the PBE-GGA level of DFT.

```
NdTh2Ge
1.0
-0.731 -2.206 -3.203
1.501 -3.651 -0.272
-7.553 -5.478 3.052
Nd Th Ge
1 2 1
Cartesian
-3.403 -5.673 -0.205
-6.026 -4.788 2.228
-1.265 -2.639 -0.338
-7.033 -9.379 0.732
```

SG: R3m
N(E_F): 4.63 states/eV per cell
Formation energy from the elements: -0.171 eV/atom
Crystal system: trigonal
VASP energy: -6.227 eV per atom

Computed, not measured: a relaxed Ba2HgPtPb crystal at the PBE-GGA level of DFT.

```
Ba2HgPtPb
1.0
4.840 0.000 0.000
0.000 8.987 0.087
0.000 -3.612 7.752
Ba Hg Pt Pb
4 2 2 2
Cartesian
3.630 5.623 5.179
3.630 6.322 0.257
1.210 -0.249 2.660
1.210 -0.947 7.582
1.210 4.989 2.599
3.630 0.386 5.241
1.210 4.808 7.216
3.630 0.567 0.623
1.210 2.771 5.083
3.630 2.604 2.757
```

SG: P2_1/m
N(E_F): 5.97 states/eV per cell
Formation energy from the elements: -0.589 eV/atom
Crystal system: monoclinic
VASP energy: -3.368 eV per atom

Computed, not measured: a relaxed SrTl4In15 crystal at the PBE-GGA level of DFT.

```
SrTl4In15
1.0
5.491 0.000 0.000
0.000 5.491 0.000
0.000 0.000 19.149
Sr Tl In
1 4 15
Cartesian
0.000 0.000 0.000
0.000 0.000 3.872
0.000 0.000 7.699
0.000 0.000 11.450
0.000 0.000 15.278
2.746 2.746 0.000
2.746 2.746 3.982
2.746 2.746 7.655
2.746 2.746 11.494
2.746 2.746 15.168
2.746 0.000 2.133
2.746 0.000 5.769
2.746 0.000 9.575
2.746 0.000 13.380
2.746 0.000 17.017
0.000 2.746 2.133
0.000 2.746 5.769
0.000 2.746 9.575
0.000 2.746 13.380
0.000 2.746 17.017
```

SG: P4/mmm
N(E_F): 6.25 states/eV per cell
Formation energy from the elements: -0.031 eV/atom
Crystal system: tetragonal
VASP energy: -2.642 eV per atom

Computed, not measured: a relaxed HfNbCo2 crystal at the PBE-GGA level of DFT.

```
HfNbCo2
1.0
2.776 1.631 3.021
-0.417 -1.165 4.238
3.014 -2.626 1.874
Co Nb Hf
2 1 1
Cartesian
1.343 -0.540 2.283
4.029 -1.621 6.850
0.000 0.000 0.000
2.686 -1.081 4.567
```

SG: Fm-3m
N(E_F): 3.68 states/eV per cell
Formation energy from the elements: -0.189 eV/atom
Crystal system: cubic
VASP energy: -8.748 eV per atom

Computed, not measured: a relaxed HoZrNiAu crystal at the PBE-GGA level of DFT.

```
HoZrNiAu
1.0
-4.041 2.638 -0.145
-4.171 -1.888 1.531
-2.003 1.576 4.100
Ni Au Ho Zr
1 1 1 1
Cartesian
-7.661 1.744 4.115
-2.554 0.581 1.372
0.000 0.000 0.000
-5.107 1.163 2.743
```

SG: F-43m
N(E_F): 3.64 states/eV per cell
Formation energy from the elements: -0.426 eV/atom
Crystal system: cubic
VASP energy: -5.972 eV per atom

Computed, not measured: a relaxed CoAgSe4 crystal at the PBE-GGA level of DFT.

```
CoAgSe4
1.0
-5.341 -1.930 -0.174
-3.702 2.217 -3.695
-1.767 -3.072 -4.441
Co Ag Se
1 1 4
Cartesian
0.000 0.000 0.000
-8.107 -2.088 -6.233
-6.730 -2.012 -3.199
-4.935 -2.586 -5.342
-5.907 0.071 -4.968
-4.047 -1.043 -3.112
```

SG: F-43m
Uncorrected formation energy: 0.862 eV per atom
N(E_F): 5.24 states/eV per cell
Crystal system: cubic
VASP energy: -3.120 eV per atom

Computed, not measured: a relaxed SiRu2W crystal at the PBE-GGA level of DFT.

```
SiRu2W
1.0
4.469 0.005 0.000
-0.821 4.392 0.000
0.000 0.000 2.884
Ru Si W
2 1 1
Cartesian
0.000 0.000 0.000
1.824 2.199 0.000
2.234 0.003 1.442
-0.411 2.196 1.442
```

SG: Cmmm
Uncorrected formation energy: -0.108 eV per atom
N(E_F): 3.63 states/eV per cell
Crystal system: orthorhombic
VASP energy: -9.340 eV per atom

Computed, not measured: a relaxed Ac2ErTmAs4 crystal at the PBE-GGA level of DFT.

```
Ac2ErTmAs4
1.0
-2.927 1.716 2.669
1.766 -5.069 5.194
5.492 2.661 4.311
Ac Er Tm As
2 1 1 4
Cartesian
5.492 2.661 4.311
1.283 2.189 3.490
4.912 0.985 8.243
3.629 -1.204 4.753
5.442 -1.653 7.030
-1.111 0.962 5.145
1.239 -2.121 6.212
3.092 1.430 5.963
```

SG: P2/m
N(E_F): 0.77 states/eV per cell
Formation energy from the elements: -1.453 eV/atom
Crystal system: monoclinic
VASP energy: -5.934 eV per atom